No. 1
# Zr2Be2Ga SCAN PBEsol geometry
# Energy (eV/atom): -17.72
# Energy of formation (meV per atom): -431
data_Zr2Be2Ga
_chemical_formula_sum 'Zr4 Be4 Ga2'
_symmetry_space_group_name_H-M 'P 1'
_symmetry_Int_Tables_number 1
_cell_length_a 3.873
_cell_length_b 6.236
_cell_length_c 6.236
_cell_angle_alpha 90.00
_cell_angle_beta 90.00
_cell_angle_gamma 90.00
loop_
_symmetry_equiv_pos_as_xyz
'x,y,z'
loop_
_atom_site_label
_atom_site_type_symbol
_atom_site_fract_x
_atom_site_fract_y
_atom_site_fract_z
Zr1 Zr 0.500 0.830 0.330
Zr2 Zr 0.500 0.330 0.170
Zr3 Zr 0.500 0.670 0.830
Zr4 Zr 0.500 0.170 0.670
Be1 Be 0.000 0.877 0.623
Be2 Be 0.000 0.123 0.377
Be3 Be 0.000 0.623 0.123
Be4 Be 0.000 0.377 0.877
Ga1 Ga 0.000 0.500 0.500
Ga2 Ga 0.000 0.000 0.000

***

No. 2
# ZrSc2Cd SCAN PBEsol geometry
# Energy (eV/atom): -22.53
# Polymorph energy (0 for the lowest one) (meV per atom): 79.4
# Energy of formation (meV per atom): -132
data_ZrSc2Cd
_chemical_formula_sum 'Zr1 Sc2 Cd1'
_symmetry_space_group_name_H-M 'P 1'
_symmetry_Int_Tables_number 1
_cell_length_a 3.177
_cell_length_b 3.177
_cell_length_c 8.719
_cell_angle_alpha 90.00
_cell_angle_beta 90.00
_cell_angle_gamma 90.00
loop_
_symmetry_equiv_pos_as_xyz
'x,y,z'
loop_
_atom_site_label
_atom_site_type_symbol
_atom_site_fract_x
_atom_site_fract_y
_atom_site_fract_z
Cd1 Cd 0.500 0.500 0.751
Sc1 Sc 0.500 0.500 0.258
Sc2 Sc 0.000 0.000 0.987
Zr1 Zr 0.000 0.000 0.504

***

No. 3
# Ho2H4CO7 SCAN PBEsol geometry
# Energy (eV/atom): -14.09
data_Ho2H4CO7
_chemical_formula_sum 'Ho8 H16 C4 O28'
_symmetry_space_group_name_H-M 'P 1'
_symmetry_Int_Tables_number 1
_cell_length_a 5.907
_cell_length_b 6.204
_cell_length_c 15.251
_cell_angle_alpha 97.01
_cell_angle_beta 90.00
_cell_angle_gamma 90.00
loop_
_symmetry_equiv_pos_as_xyz
'x,y,z'
loop_
_atom_site_label
_atom_site_type_symbol
_atom_site_fract_x
_atom_site_fract_y
_atom_site_fract_z
O1 O 0.012 0.306 0.265
O2 O 0.512 0.694 0.235
O3 O 0.954 0.324 0.054
O4 O 0.270 0.965 0.085
O5 O 0.609 0.695 0.876
O6 O 0.467 0.668 0.690
O7 O 0.488 0.306 0.765
O8 O 0.369 0.378 0.940
O9 O 0.046 0.676 0.946
O10 O 0.383 0.963 0.853
O11 O 0.454 0.676 0.446
O12 O 0.546 0.324 0.554
O13 O 0.533 0.332 0.310
O14 O 0.617 0.037 0.147
O15 O 0.730 0.035 0.915
O16 O 0.631 0.622 0.060
O17 O 0.391 0.305 0.124
O18 O 0.033 0.668 0.190
O19 O 0.869 0.622 0.560
O20 O 0.883 0.037 0.647
O21 O 0.230 0.965 0.585
O22 O 0.891 0.695 0.376
O23 O 0.109 0.305 0.624
O24 O 0.967 0.332 0.810
O25 O 0.770 0.035 0.415
O26 O 0.131 0.378 0.440
O27 O 0.988 0.694 0.735
O28 O 0.117 0.963 0.353
C1 C 0.078 0.097 0.618
C2 C 0.578 0.903 0.882
C3 C 0.922 0.903 0.382
C4 C 0.422 0.097 0.118
Ho1 Ho 0.259 0.579 0.817
Ho2 Ho 0.747 0.411 0.436
Ho3 Ho 0.753 0.411 0.936
Ho4 Ho 0.741 0.421 0.183
Ho5 Ho 0.253 0.589 0.564
Ho6 Ho 0.247 0.589 0.064
Ho7 Ho 0.759 0.421 0.683
Ho8 Ho 0.241 0.579 0.317
H1 H 0.166 0.224 0.420
H2 H 0.834 0.776 0.580
H3 H 0.004 0.825 0.198
H4 H 0.967 0.816 0.945
H5 H 0.467 0.184 0.555
H6 H 0.496 0.825 0.698
H7 H 0.033 0.184 0.055
H8 H 0.666 0.776 0.080
H9 H 0.047 0.170 0.289
H10 H 0.334 0.224 0.920
H11 H 0.504 0.175 0.302
H12 H 0.953 0.830 0.711
H13 H 0.533 0.816 0.445
H14 H 0.547 0.830 0.211
H15 H 0.996 0.175 0.802
H16 H 0.453 0.170 0.789

***

No. 4
# Ba3MgTi SCAN PBEsol geometry
# Energy (eV/atom): -27.26
# Energy of formation (meV per atom): 671
data_Ba3MgTi
_chemical_formula_sum 'Ba3 Mg1 Ti1'
_symmetry_space_group_name_H-M 'P 1'
_symmetry_Int_Tables_number 1
_cell_length_a 6.049
_cell_length_b 6.049
_cell_length_c 6.049
_cell_angle_alpha 90.00
_cell_angle_beta 90.00
_cell_angle_gamma 90.00
loop_
_symmetry_equiv_pos_as_xyz
'x,y,z'
loop_
_atom_site_label
_atom_site_type_symbol
_atom_site_fract_x
_atom_site_fract_y
_atom_site_fract_z
Ba1 Ba 0.500 0.000 0.000
Ba2 Ba 0.000 0.500 0.000
Ba3 Ba 0.000 0.000 0.500
Mg1 Mg 0.500 0.500 0.500
Ti1 Ti 0.000 0.000 0.000

***

No. 5
# LiW3Cl SCAN PBEsol geometry
# Energy (eV/atom): -41.50
# Raw formation energy (meV/atom): 2390
data_LiW3Cl
_chemical_formula_sum 'Li1 W3 Cl1'
_symmetry_space_group_name_H-M 'P 1'
_symmetry_Int_Tables_number 1
_cell_length_a 4.266
_cell_length_b 4.266
_cell_length_c 4.266
_cell_angle_alpha 90.00
_cell_angle_beta 90.00
_cell_angle_gamma 90.00
loop_
_symmetry_equiv_pos_as_xyz
'x,y,z'
loop_
_atom_site_label
_atom_site_type_symbol
_atom_site_fract_x
_atom_site_fract_y
_atom_site_fract_z
Li1 Li 0.000 0.000 0.000
W1 W 0.500 0.000 0.000
W2 W 0.000 0.500 0.000
W3 W 0.000 0.000 0.500
Cl1 Cl 0.500 0.500 0.500

***

No. 6
# CrRh SCAN PBEsol geometry
# Energy (eV/atom): -26.14
# Energy of formation (meV per atom): -61
data_CrRh
_chemical_formula_sum 'Cr2 Rh2'
_symmetry_space_group_name_H-M 'P 1'
_symmetry_Int_Tables_number 1
_cell_length_a 2.700
_cell_length_b 4.409
_cell_length_c 4.676
_cell_angle_alpha 110.41
_cell_angle_beta 106.78
_cell_angle_gamma 90.00
loop_
_symmetry_equiv_pos_as_xyz
'x,y,z'
loop_
_atom_site_label
_atom_site_type_symbol
_atom_site_fract_x
_atom_site_fract_y
_atom_site_fract_z
Rh1 Rh 0.392 0.180 0.784
Rh2 Rh 0.608 0.820 0.216
Cr1 Cr 0.850 0.658 0.700
Cr2 Cr 0.150 0.342 0.300

***

No. 7
# LaTc3Ge SCAN PBEsol geometry
# Energy (eV/atom): -32.86
# Energy of formation (meV per atom): 613
data_LaTc3Ge
_chemical_formula_sum 'La1 Tc3 Ge1'
_symmetry_space_group_name_H-M 'P 1'
_symmetry_Int_Tables_number 1
_cell_length_a 4.620
_cell_length_b 4.620
_cell_length_c 4.620
_cell_angle_alpha 90.00
_cell_angle_beta 90.00
_cell_angle_gamma 90.00
loop_
_symmetry_equiv_pos_as_xyz
'x,y,z'
loop_
_atom_site_label
_atom_site_type_symbol
_atom_site_fract_x
_atom_site_fract_y
_atom_site_fract_z
Tc1 Tc 0.000 0.000 0.500
Tc2 Tc 0.000 0.500 0.000
Tc3 Tc 0.500 0.000 0.000
La1 La 0.500 0.500 0.500
Ge1 Ge 0.000 0.000 0.000

***

No. 8
# BaMn2Si SCAN PBEsol geometry
# Energy (eV/atom): -21.58
# Raw formation energy (meV/atom): -60
data_BaMn2Si
_chemical_formula_sum 'Ba1 Mn2 Si1'
_symmetry_space_group_name_H-M 'P 1'
_symmetry_Int_Tables_number 1
_cell_length_a 4.081
_cell_length_b 4.081
_cell_length_c 6.251
_cell_angle_alpha 70.95
_cell_angle_beta 70.95
_cell_angle_gamma 60.00
loop_
_symmetry_equiv_pos_as_xyz
'x,y,z'
loop_
_atom_site_label
_atom_site_type_symbol
_atom_site_fract_x
_atom_site_fract_y
_atom_site_fract_z
Si1 Si 0.000 0.000 0.000
Mn1 Mn 0.307 0.307 0.079
Mn2 Mn 0.693 0.693 0.921
Ba1 Ba 0.500 0.500 0.500

***

No. 9
# TaRuRh2 SCAN PBEsol geometry
# Energy (eV/atom): -42.51
# Polymorph energy (0 for the lowest one) (meV per atom): 261.5
# Energy of formation (meV per atom): -267
data_TaRuRh2
_chemical_formula_sum 'Ta1 Ru1 Rh2'
_symmetry_space_group_name_H-M 'P 1'
_symmetry_Int_Tables_number 1
_cell_length_a 2.787
_cell_length_b 4.656
_cell_length_c 4.724
_cell_angle_alpha 100.38
_cell_angle_beta 107.16
_cell_angle_gamma 90.00
loop_
_symmetry_equiv_pos_as_xyz
'x,y,z'
loop_
_atom_site_label
_atom_site_type_symbol
_atom_site_fract_x
_atom_site_fract_y
_atom_site_fract_z
Rh1 Rh 0.752 0.758 0.504
Rh2 Rh 0.248 0.242 0.496
Ru1 Ru 0.500 0.000 0.000
Ta1 Ta 0.000 0.500 0.000

***

No. 10
# NbGaSb2Te SCAN PBEsol geometry
# Energy (eV/atom): -31.30
# Raw formation energy (meV/atom): 947
data_NbGaSb2Te
_chemical_formula_sum 'Nb1 Ga1 Sb2 Te1'
_symmetry_space_group_name_H-M 'P 1'
_symmetry_Int_Tables_number 1
_cell_length_a 5.095
_cell_length_b 5.095
_cell_length_c 5.230
_cell_angle_alpha 90.00
_cell_angle_beta 90.00
_cell_angle_gamma 90.00
loop_
_symmetry_equiv_pos_as_xyz
'x,y,z'
loop_
_atom_site_label
_atom_site_type_symbol
_atom_site_fract_x
_atom_site_fract_y
_atom_site_fract_z
Sb1 Sb 0.000 0.500 0.000
Sb2 Sb 0.500 0.000 0.000
Ga1 Ga 0.000 0.000 0.000
Te1 Te 0.000 0.000 0.500
Nb1 Nb 0.500 0.500 0.500

***

No. 11
# Ni3Br SCAN PBEsol geometry
# Energy (eV/atom): -16.51
# Raw formation energy (meV/atom): 490
# Polymorph energy (0 for the lowest one) (meV per atom): 0.0
data_Ni3Br
_chemical_formula_sum 'Ni3 Br1'
_symmetry_space_group_name_H-M 'P 1'
_symmetry_Int_Tables_number 1
_cell_length_a 3.058
_cell_length_b 3.058
_cell_length_c 5.551
_cell_angle_alpha 90.00
_cell_angle_beta 90.00
_cell_angle_gamma 90.00
loop_
_symmetry_equiv_pos_as_xyz
'x,y,z'
loop_
_atom_site_label
_atom_site_type_symbol
_atom_site_fract_x
_atom_site_fract_y
_atom_site_fract_z
Ni1 Ni 0.500 0.500 0.713
Ni2 Ni 0.500 0.500 0.287
Ni3 Ni 0.000 0.000 0.500
Br1 Br 0.000 0.000 0.000

***

No. 12
# HgRu SCAN PBEsol geometry
# Energy (eV/atom): -50.69
# Energy of formation (meV per atom): 803
data_HgRu
_chemical_formula_sum 'Hg2 Ru2'
_symmetry_space_group_name_H-M 'P 1'
_symmetry_Int_Tables_number 1
_cell_length_a 4.539
_cell_length_b 4.539
_cell_length_c 4.539
_cell_angle_alpha 60.00
_cell_angle_beta 60.00
_cell_angle_gamma 60.00
loop_
_symmetry_equiv_pos_as_xyz
'x,y,z'
loop_
_atom_site_label
_atom_site_type_symbol
_atom_site_fract_x
_atom_site_fract_y
_atom_site_fract_z
Hg1 Hg 0.500 0.500 0.500
Hg2 Hg 0.750 0.750 0.750
Ru1 Ru 0.250 0.250 0.250
Ru2 Ru 0.000 0.000 0.000

***

No. 13
# TlCrAg3 SCAN PBEsol geometry
# Energy (eV/atom): -36.16
# Energy of formation (meV per atom): 804
data_TlCrAg3
_chemical_formula_sum 'Tl1 Cr1 Ag3'
_symmetry_space_group_name_H-M 'P 1'
_symmetry_Int_Tables_number 1
_cell_length_a 4.957
_cell_length_b 4.957
_cell_length_c 4.957
_cell_angle_alpha 90.00
_cell_angle_beta 90.00
_cell_angle_gamma 90.00
loop_
_symmetry_equiv_pos_as_xyz
'x,y,z'
loop_
_atom_site_label
_atom_site_type_symbol
_atom_site_fract_x
_atom_site_fract_y
_atom_site_fract_z
Cr1 Cr 0.000 0.000 0.000
Ag1 Ag 0.500 0.000 0.000
Ag2 Ag 0.000 0.000 0.500
Ag3 Ag 0.000 0.500 0.000
Tl1 Tl 0.500 0.500 0.500

***

No. 14
# BeTl2WI SCAN PBEsol geometry
# Energy (eV/atom): -49.97
# Raw formation energy (meV/atom): 1126
data_BeTl2WI
_chemical_formula_sum 'Be1 Tl2 W1 I1'
_symmetry_space_group_name_H-M 'P 1'
_symmetry_Int_Tables_number 1
_cell_length_a 4.617
_cell_length_b 4.937
_cell_length_c 4.937
_cell_angle_alpha 90.00
_cell_angle_beta 90.00
_cell_angle_gamma 90.00
loop_
_symmetry_equiv_pos_as_xyz
'x,y,z'
loop_
_atom_site_label
_atom_site_type_symbol
_atom_site_fract_x
_atom_site_fract_y
_atom_site_fract_z
Tl1 Tl 0.000 0.000 0.500
Tl2 Tl 0.000 0.500 0.000
W1 W 0.500 0.000 0.000
Be1 Be 0.000 0.000 0.000
I1 I 0.500 0.500 0.500

***

No. 15
# LiGaPd3 SCAN PBEsol geometry
# Energy (eV/atom): -23.36
# Energy of formation (meV per atom): 48
data_LiGaPd3
_chemical_formula_sum 'Li1 Ga1 Pd3'
_symmetry_space_group_name_H-M 'P 1'
_symmetry_Int_Tables_number 1
_cell_length_a 4.589
_cell_length_b 4.589
_cell_length_c 4.589
_cell_angle_alpha 90.00
_cell_angle_beta 90.00
_cell_angle_gamma 90.00
loop_
_symmetry_equiv_pos_as_xyz
'x,y,z'
loop_
_atom_site_label
_atom_site_type_symbol
_atom_site_fract_x
_atom_site_fract_y
_atom_site_fract_z
Ga1 Ga 0.000 0.000 0.000
Pd1 Pd 0.500 0.000 0.000
Pd2 Pd 0.000 0.000 0.500
Pd3 Pd 0.000 0.500 0.000
Li1 Li 0.500 0.500 0.500

***

No. 16
# YMoPt2 SCAN PBEsol geometry
# Energy (eV/atom): -51.18
# Polymorph energy (0 for the lowest one) (meV per atom): 11.4
# Energy of formation (meV per atom): -403
data_YMoPt2
_chemical_formula_sum 'Y1 Mo1 Pt2'
_symmetry_space_group_name_H-M 'P 1'
_symmetry_Int_Tables_number 1
_cell_length_a 2.963
_cell_length_b 3.875
_cell_length_c 6.176
_cell_angle_alpha 90.00
_cell_angle_beta 90.00
_cell_angle_gamma 90.00
loop_
_symmetry_equiv_pos_as_xyz
'x,y,z'
loop_
_atom_site_label
_atom_site_type_symbol
_atom_site_fract_x
_atom_site_fract_y
_atom_site_fract_z
Pt1 Pt 0.500 0.500 0.237
Pt2 Pt 0.000 0.000 0.976
Mo1 Mo 0.500 0.500 0.806
Y1 Y 0.000 0.000 0.481

***

No. 17
# RbReSnOs2 SCAN PBEsol geometry
# Energy (eV/atom): -51.27
# Energy of formation (meV per atom): 3034
data_RbReSnOs2
_chemical_formula_sum 'Rb1 Re1 Sn1 Os2'
_symmetry_space_group_name_H-M 'P 1'
_symmetry_Int_Tables_number 1
_cell_length_a 4.867
_cell_length_b 4.867
_cell_length_c 5.379
_cell_angle_alpha 90.00
_cell_angle_beta 90.00
_cell_angle_gamma 90.00
loop_
_symmetry_equiv_pos_as_xyz
'x,y,z'
loop_
_atom_site_label
_atom_site_type_symbol
_atom_site_fract_x
_atom_site_fract_y
_atom_site_fract_z
Rb1 Rb 0.000 0.000 0.500
Sn1 Sn 0.000 0.000 0.000
Os1 Os 0.000 0.500 0.000
Os2 Os 0.500 0.000 0.000
Re1 Re 0.500 0.500 0.500

***

No. 18
# Cs3TmCl6 SCAN PBEsol geometry
# Energy (eV/atom): -23.68
# Raw formation energy (meV/atom): -2363
data_Cs3TmCl6
_chemical_formula_sum 'Cs3 Tm1 Cl6'
_symmetry_space_group_name_H-M 'P 1'
_symmetry_Int_Tables_number 1
_cell_length_a 8.155
_cell_length_b 8.155
_cell_length_c 8.155
_cell_angle_alpha 60.00
_cell_angle_beta 60.00
_cell_angle_gamma 60.00
loop_
_symmetry_equiv_pos_as_xyz
'x,y,z'
loop_
_atom_site_label
_atom_site_type_symbol
_atom_site_fract_x
_atom_site_fract_y
_atom_site_fract_z
Cs1 Cs 0.500 0.500 0.500
Cs2 Cs 0.250 0.250 0.250
Cs3 Cs 0.750 0.750 0.750
Cl1 Cl 0.223 0.777 0.223
Cl2 Cl 0.223 0.223 0.777
Cl3 Cl 0.223 0.777 0.777
Cl4 Cl 0.777 0.777 0.223
Cl5 Cl 0.777 0.223 0.223
Cl6 Cl 0.777 0.223 0.777
Tm1 Tm 0.000 0.000 0.000

***

No. 19
# NaLi2Ag SCAN PBEsol geometry
# Energy (eV/atom): -10.17
# Energy of formation (meV per atom): -78
data_NaLi2Ag
_chemical_formula_sum 'Na1 Li2 Ag1'
_symmetry_space_group_name_H-M 'P 1'
_symmetry_Int_Tables_number 1
_cell_length_a 4.754
_cell_length_b 4.754
_cell_length_c 4.754
_cell_angle_alpha 60.00
_cell_angle_beta 60.00
_cell_angle_gamma 60.00
loop_
_symmetry_equiv_pos_as_xyz
'x,y,z'
loop_
_atom_site_label
_atom_site_type_symbol
_atom_site_fract_x
_atom_site_fract_y
_atom_site_fract_z
Li1 Li 0.250 0.250 0.250
Li2 Li 0.750 0.750 0.750
Ag1 Ag 0.500 0.500 0.500
Na1 Na 0.000 0.000 0.000

***

No. 20
# PtI2O2 SCAN PBEsol geometry
# Energy (eV/atom): -30.81
# Raw formation energy (meV/atom): 417
data_PtI2O2
_chemical_formula_sum 'Pt1 I2 O2'
_symmetry_space_group_name_H-M 'P 1'
_symmetry_Int_Tables_number 1
_cell_length_a 4.121
_cell_length_b 4.121
_cell_length_c 5.625
_cell_angle_alpha 90.00
_cell_angle_beta 90.00
_cell_angle_gamma 90.00
loop_
_symmetry_equiv_pos_as_xyz
'x,y,z'
loop_
_atom_site_label
_atom_site_type_symbol
_atom_site_fract_x
_atom_site_fract_y
_atom_site_fract_z
I1 I 0.500 0.500 0.500
I2 I 0.000 0.000 0.500
O1 O 0.500 0.000 0.000
O2 O 0.000 0.500 0.000
Pt1 Pt 0.000 0.000 0.000